The following is a PBE calculation of crystalline PmEuIn2 at its relaxed geometry, from Alexandria.

Results
- electronic total energy (eV per atom) = -5.60
- DFT formation energy (eV per atom) = -0.479
- V (Å³/cell) = 118.50

Lattice parameters (Å, degrees): 3.8939 3.8939 7.8156 90.00 90.00 90.00
Atoms (fractional coordinates):
Pm  0.0000  0.0000  0.0000
Eu  0.0000  0.0000  0.5000
In  0.5000  0.5000  0.2406
In  0.5000  0.5000  0.7594